Here is crystalline SiW2 at its relaxed geometry from Alexandria. Energies are from PBE.

Unit cell a=6.975 b=6.975 c=3.173 alpha=90.00 beta=90.00 gamma=120.00
Fractional coordinates of all 9 atoms:
Si 0.000 0.000 0.000
Si 0.333 0.667 0.500
Si 0.667 0.333 0.500
W 0.000 0.268 0.500
W 0.000 0.607 0.000
W 0.268 0.000 0.500
W 0.393 0.393 0.000
W 0.607 0.000 0.000
W 0.732 0.732 0.500

Output
Formation energy (no corrections): -0.052 eV per atom
Symmetry: P-62m, No. 189

***

Here is crystalline LiTaW at its relaxed geometry from Alexandria. Energies are from PBE.

Unit cell a=4.664 b=4.664 c=2.582 alpha=90.00 beta=90.00 gamma=120.00
Fractional coordinates of all 3 atoms:
Li 0.000 0.000 0.000
Ta 0.667 0.333 0.298
W 0.333 0.667 0.726

Output
Electronic total energy: -0.3149 Ha/atom
Symmetry: P3m1, No. 156

***

Here is crystalline Ce4Ho3Sb4 at its relaxed geometry from Alexandria. Energies are from PBE.

Unit cell a=9.461 b=9.461 c=9.461 alpha=155.17 beta=112.98 gamma=72.66
Fractional coordinates of all 11 atoms:
Ce 0.035 0.807 0.227
Ce 0.420 0.193 0.227
Ce 0.580 0.807 0.773
Ce 0.965 0.193 0.773
Ho 0.000 0.500 0.500
Ho 0.386 0.386 0.000
Ho 0.614 0.614 0.000
Sb 0.219 0.719 0.500
Sb 0.320 0.000 0.320
Sb 0.680 0.000 0.680
Sb 0.781 0.281 0.500

Output
Formation energy (no corrections): -0.585 eV per atom
Symmetry: Immm, No. 71

***

Number 1: DOS at the Fermi energy 5.42 states/eV/cell. Number 2: DOS at the Fermi energy 2.57 states/eV/cell. Number 3: DOS at the Fermi energy 17.24 states/eV/cell.